Record 1
{
  "formula": "ThPRuO",
  "functional": "PBE",
  "state": "optimized geometry",
  "cell": [[-2.495, -1.712, -2.671], [-0.841, -2.920, 2.657], [-6.079, 4.370, 2.877]],
  "species": ["Th", "Th", "P", "P", "Ru", "Ru", "O", "O"],
  "fractional_positions": [[0.000, 0.500, 0.836], [0.500, 0.000, 0.164], [0.500, 0.000, 0.650], [0.000, 0.500, 0.350], [0.000, 0.000, 0.500], [0.500, 0.500, 0.500], [0.500, 0.500, 0.000], [0.000, 0.000, 0.000]],
  "magmom_total_mub_per_cell": 0.00,
  "e_tot_ev_per_cell": -71.1
}



Record 2
{
  "formula": "TiP2RuO",
  "functional": "PBE",
  "state": "optimized geometry",
  "cell": [[4.820, 0.000, 0.000], [0.000, 4.820, 0.000], [0.000, 0.000, 3.579]],
  "species": ["Ru", "O", "P", "P", "Ti"],
  "fractional_positions": [[0.500, 0.500, 0.500], [0.000, 0.000, 0.500], [0.000, 0.500, 0.000], [0.500, 0.000, 0.000], [0.000, 0.000, 0.000]],
  "magmom_total_mub_per_cell": 1.68,
  "e_tot_ev_per_cell": -33.2
}



Record 3
{
  "formula": "TiP2RuO",
  "functional": "PBE",
  "state": "optimized geometry",
  "cell": [[4.752, 0.000, 0.000], [0.000, 4.752, 0.000], [0.000, 0.000, 3.629]],
  "species": ["Ru", "O", "P", "P", "Ti"],
  "fractional_positions": [[0.000, 0.000, 0.000], [0.000, 0.000, 0.500], [0.000, 0.500, 0.000], [0.500, 0.000, 0.000], [0.500, 0.500, 0.500]],
  "magmom_total_mub_per_cell": 0.00,
  "e_tot_ev_per_cell": -32.8
}